Density functional theory data (PBE) for a relaxed structure of Th2CdOs.

Lattice parameters (Å, degrees): 4.2185 4.2185 7.8087 90.00 90.00 120.00
Space group P-3m1 (No. 164)
Inequivalent atoms, fractional coordinates:
Th (0.3333, 0.6667, 0.3118) x2
Cd (0.0000, 0.0000, 0.0000) x1
Os (0.0000, 0.0000, 0.5000) x1


Density functional theory data (PBE) for a relaxed structure of Mg3NbTl.

Lattice parameters (Å, degrees): 5.135 5.135 5.135 90.00 90.00 90.00
Space group Pm-3m (No. 221)
Inequivalent atoms, fractional coordinates:
Mg (0.000, 0.000, 0.500) x3
Nb (0.500, 0.500, 0.500) x1
Tl (0.000, 0.000, 0.000) x1


Density functional theory data (PBE) for a relaxed structure of Tb2TmCd6.

Lattice parameters (Å, degrees): 8.6154 8.6154 3.4152 90.00 90.00 120.00
Space group P6/mmm (No. 191)
Inequivalent atoms, fractional coordinates:
Tb (0.3333, 0.6667, 0.0000) x2
Tm (0.0000, 0.0000, 0.0000) x1
Cd (0.0000, 0.3320, 0.5000) x6


Number 1: total moment 0.0 μB per formula unit, raw total energy -6.954 eV/atom, calculated volume 120.3 Å³ per cell. Number 2: total moment 0.1 μB per formula unit, raw total energy -2.337 eV/atom, calculated volume 135.4 Å³ per cell. Number 3: total moment 0.0 μB per formula unit, raw total energy -2.447 eV/atom, calculated volume 219.5 Å³ per cell.